The following is a DFT calculation (PBE) of a relaxed structure of DyMnSi2Tc.

Cell lengths 3.9948, 3.9948, 10.3962 Å; angles 90.00, 90.00, 90.00 degrees
Closest atoms and distances in Å follow each position.
Space group I-4m2 (No. 119)
Symmetry-distinct sites (fractional):
Dy 0.0000 0.0000 0.0000 (multiplicity 2)  8 Si 3.08, 4 Mn 3.28, 4 Tc 3.28
Mn 0.0000 0.5000 0.7500 (multiplicity 2)  4 Si 2.42
Si 0.0000 0.0000 0.3819 (multiplicity 4)  2 Mn 2.42, 2 Tc 2.42, 1 Si 2.46
Tc 0.0000 0.5000 0.2500 (multiplicity 2)  4 Si 2.42

Calculated values
DOS at the Fermi energy: 3.79 states/eV/f.u.
ΔE_f (raw): -3.2 eV per formula unit
total moment: 0.510 μB/atom


The following is a DFT calculation (PBE) of a relaxed structure of SrY2Rh.

Cell lengths 3.7537, 5.8800, 10.8757 Å; angles 90.00, 90.00, 90.00 degrees
Closest atoms and distances in Å follow each position.
Space group Immm (No. 71)
Symmetry-distinct sites (fractional):
Sr 0.0000 0.0000 0.0000 (multiplicity 2)  4 Rh 3.49, 8 Y 3.57-3.90, 2 Sr 3.75
Y 0.0000 0.5000 0.1862 (multiplicity 4)  2 Rh 2.76
Rh 0.0000 0.0000 0.5000 (multiplicity 2)  4 Y 2.76

Calculated values
DOS at the Fermi energy: 3.49 states/eV/f.u.
energy of formation: -1.17 eV per formula unit
total moment: 0.000 μB/atom